# 1
Entry from Alexandria via LeMat-Bulk: a relaxed structure of SrPuIn2 (PBE).

## Properties
**Fermi-level density of states**: 12.61 states/eV/cell
**E_tot**: -5.563 eV/atom

Cell: 5.567 5.567 5.567 Å, 60.00 60.00 60.00°
Positions (direct):
1 Sr 0.000 0.000 0.000
2 Pu 0.500 0.500 0.500
3 In 0.250 0.250 0.250
4 In 0.750 0.750 0.750

=====

# 2
Entry from Alexandria via LeMat-Bulk: a relaxed structure of CeSiPt (PBE).

## Properties
**Fermi-level density of states**: 10.40 states/eV/cell
**E_form (uncorrected)**: -107.91 kJ per mole of atoms

Cell: 7.933 7.933 7.933 Å, 149.86 149.86 43.15°
Positions (direct):
1 Ce 0.000 0.000 0.000
2 Ce 0.750 0.250 0.500
3 Si 0.331 0.831 0.500
4 Si 0.581 0.581 0.000
5 Pt 0.166 0.666 0.500
6 Pt 0.416 0.416 0.000

=====

Question: The highest Fermi-level density of states belongs to which entry?
Answer: SrPuIn2

=====

Please write out number 2 again, unchanged.
Entry from Alexandria via LeMat-Bulk: a relaxed structure of CeSiPt (PBE).

## Properties
**Fermi-level density of states**: 10.40 states/eV/cell
**E_form (uncorrected)**: -107.91 kJ per mole of atoms

Cell: 7.933 7.933 7.933 Å, 149.86 149.86 43.15°
Positions (direct):
1 Ce 0.000 0.000 0.000
2 Ce 0.750 0.250 0.500
3 Si 0.331 0.831 0.500
4 Si 0.581 0.581 0.000
5 Pt 0.166 0.666 0.500
6 Pt 0.416 0.416 0.000